! Sc5Ag, optimized geometry, DFT PBE-GGA; values from VASP
! Space group ... Cmmm (65)
! E_form ... -0.01 eV per atom
! Electronic total energy ... -34.55 eV for the cell shown
&SYSTEM
  ibrav = 0, nat = 6, ntyp = 2
/
ATOMIC_SPECIES
Ag 107.87 Ag.upf
Sc 44.96 Sc.upf
CELL_PARAMETERS angstrom
4.1845 0.0000 0.0000
2.0923 7.1395 0.0000
0.0000 0.0000 4.5793
ATOMIC_POSITIONS angstrom
Ag 2.0923 6.7428 0.0000
Sc 2.0923 4.2884 2.2897
Sc 4.1845 6.7428 2.2897
Sc 4.1845 2.0582 2.2897
Sc 2.0923 1.8900 0.0000
Sc 4.1845 4.4558 0.0000

=====

! Ti5CuPd6, optimized geometry, DFT PBE-GGA; values from VASP
! Space group ... Immm (71)
! E_form ... -0.50 eV per atom
! Electronic total energy ... -80.70 eV for the cell shown
&SYSTEM
  ibrav = 0, nat = 12, ntyp = 3
/
ATOMIC_SPECIES
Pd 106.42 Pd.upf
Ti 47.87 Ti.upf
Cu 63.55 Cu.upf
CELL_PARAMETERS angstrom
-2.8245 -2.8142 0.2051
-1.1158 -5.0433 -6.9038
3.4840 -6.4186 -1.2584
ATOMIC_POSITIONS angstrom
Pd -0.1822 -5.8008 -4.4224
Pd 0.5946 -9.6092 -7.1500
Pd -0.9982 -1.9462 -1.6182
Pd -0.2742 -8.4753 -3.5347
Pd -2.9421 -5.9113 -5.0805
Pd -1.0509 -4.6669 -0.8071
Ti 0.7350 -6.5369 -1.8813
Ti 1.6232 -7.6840 -5.4174
Ti 0.7450 -3.7779 -2.7448
Ti -1.1914 -7.7392 -6.0758
Ti -1.9702 -3.9288 -3.3493
Cu 0.0000 0.0000 0.0000

=====

! PaMn2Ge2P, optimized geometry, DFT PBE-GGA; values from VASP
! Space group ... P4/mmm (123)
! E_form ... -0.34 eV per atom
! Electronic total energy ... -44.54 eV for the cell shown
&SYSTEM
  ibrav = 0, nat = 6, ntyp = 4
/
ATOMIC_SPECIES
Pa 231.04 Pa.upf
Mn 54.94 Mn.upf
P 30.97 P.upf
Ge 72.64 Ge.upf
CELL_PARAMETERS angstrom
4.3206 0.0000 0.0000
0.0000 4.3206 0.0000
0.0000 0.0000 5.3910
ATOMIC_POSITIONS angstrom
Pa 0.0000 0.0000 2.6955
Mn 2.1603 0.0000 0.0000
Mn 0.0000 2.1603 0.0000
P 0.0000 0.0000 0.0000
Ge 2.1603 2.1603 3.9433
Ge 2.1603 2.1603 1.4477

=====

! Pr7SmEr3, optimized geometry, DFT PBE-GGA; values from VASP
! Space group ... P3m1 (156)
! E_form ... 0.19 eV per atom
! Electronic total energy ... -49.83 eV for the cell shown
&SYSTEM
  ibrav = 0, nat = 11, ntyp = 3
/
ATOMIC_SPECIES
Pr 140.91 Pr.upf
Er 167.26 Er.upf
Sm 150.36 Sm.upf
CELL_PARAMETERS angstrom
8.7129 0.0000 0.0000
0.0000 7.2590 0.0000
0.0000 -3.6295 6.2864
ATOMIC_POSITIONS angstrom
Pr 1.0968 3.6295 2.0955
Pr 0.9186 -1.8134 5.2379
Pr 4.0193 1.8127 1.0466
Pr 4.0193 5.4462 1.0466
Pr 4.0193 3.6295 4.1933
Pr 0.9186 0.0000 2.0970
Pr 0.9186 1.8134 5.2379
Er 6.8163 0.0000 6.2799
Er 6.8163 1.8091 3.1465
Er 6.8163 -1.8091 3.1465
Sm 3.8518 0.0000 4.1910